Entry from Alexandria via LeMat-Bulk: a geometry-optimized LiTb2OsO6 structure (PBE).

Unit cell a=5.7258 b=5.7258 c=5.7258 alpha=57.82 beta=57.82 gamma=57.82
With the nearest neighbours (Å) after each atom.
Fractional coordinates of all 10 atoms:
Li: 0.0000 0.0000 0.0000  3 O 2.05
Tb: 0.2683 0.2683 0.2683  6 O 2.27-2.38
Tb: 0.7729 0.7729 0.7729  6 O 2.25-2.38
Os: 0.4820 0.4820 0.4820  6 O 1.98-2.01
O: 0.1313 0.6944 0.3559  1 Os 2.01, 1 Li 2.05, 1 Tb 2.25
O: 0.2247 0.6103 0.8278  1 Os 1.98
O: 0.3559 0.1313 0.6944  1 Os 2.01, 1 Li 2.05, 1 Tb 2.25
O: 0.6103 0.8278 0.2247  1 Os 1.98
O: 0.6944 0.3559 0.1313  1 Os 2.01, 1 Li 2.05, 1 Tb 2.25
O: 0.8278 0.2247 0.6103  1 Os 1.98

## Properties
**Space group**: R3
**ΔE_f (raw)**: -2.41 eV per atom